Density functional theory data (GGA-PBE) for a geometry-optimized HoTm2ScAs4 structure.

Values from the calculation:
The energy relative to the elements comes out at -1466.8 meV per atom. The space group is P2/m, No. 10.

Cell: 4.033 6.979 6.977 Å, 70.53 90.00 90.00°
Atoms (fractional coordinates):
Sc: 0.000 0.500 0.500
As: 0.500 0.744 0.258
As: 0.000 0.748 0.745
As: 0.500 0.256 0.742
As: 0.000 0.252 0.255
Ho: 0.500 0.500 0.000
Tm: 0.500 0.000 0.500
Tm: 0.000 0.000 0.000